First-principles (PBE-GGA) data for a relaxed structure of SbIr2Au, as listed in the Alexandria database.

Cell lengths 2.931, 2.931, 8.463 Å; angles 90.00, 90.00, 90.00 degrees
Fractional positions:
Sb: 0.000 0.000 0.000
Ir: 0.000 0.000 0.551
Ir: 0.500 0.500 0.753
Au: 0.500 0.500 0.315

Calculated values
**DOS(E_F)**: 1.667 states/eV per atom
**Calculated volume**: 18.2 Å³ per atom
**E_form (uncorrected)**: 34 kJ/mol of atoms
**Space group**: P4mm, No. 99